No. 1
Material: AlSbW2
Method: DFT, SCAN
State: PBEsol geometry

Properties
Its density of states at the Fermi level is 4.01 states/eV/cell. The magnetization is 0.00 μB/f.u. The raw total energy comes out at -1.66794 hartree per atom. For the uncorrected formation energy, the calculation gives 0.71 eV per atom. The calculated volume is 18.5 Å³/atom. The distance to the lowest polymorph of the same formula comes out at 225 meV/atom.

Cell and atoms, written as CIF:
```
data_AlSbW2
_cell_length_a 3.947
_cell_length_b 3.947
_cell_length_c 9.890
_cell_angle_alpha 101.51
_cell_angle_beta 101.51
_cell_angle_gamma 90.00
_space_group_name_H-M_alt 'P 1'
_space_group_IT_number 1
loop_
_space_group_symop_operation_xyz
'x,y,z'
loop_
_atom_site_label
_atom_site_type_symbol
_atom_site_fract_x
_atom_site_fract_y
_atom_site_fract_z
_atom_site_occupancy
Sb1 Sb 0.250 0.750 0.500 1
Sb2 Sb 0.000 0.000 0.000 1
Al1 Al 0.750 0.250 0.500 1
Al2 Al 0.500 0.500 0.000 1
W1 W 0.834 0.375 0.250 1
W2 W 0.416 0.875 0.250 1
W3 W 0.625 0.584 0.750 1
W4 W 0.125 0.166 0.750 1
```

***

No. 2
Material: Al2SbW
Method: DFT, SCAN
State: PBEsol geometry

Properties
Its density of states at the Fermi level is 1.70 states/eV/cell. The magnetization is 0.00 μB/f.u. The raw total energy comes out at -1.11301 hartree per atom. For the uncorrected formation energy, the calculation gives 0.33 eV per atom. The calculated volume is 16.9 Å³/atom.

Cell and atoms, written as CIF:
```
data_Al2SbW
_cell_length_a 3.559
_cell_length_b 4.590
_cell_length_c 5.063
_cell_angle_alpha 116.96
_cell_angle_beta 110.58
_cell_angle_gamma 90.00
_space_group_name_H-M_alt 'P 1'
_space_group_IT_number 1
loop_
_space_group_symop_operation_xyz
'x,y,z'
loop_
_atom_site_label
_atom_site_type_symbol
_atom_site_fract_x
_atom_site_fract_y
_atom_site_fract_z
_atom_site_occupancy
Sb1 Sb 0.495 0.495 0.990 1
Al1 Al 0.007 0.007 0.014 1
Al2 Al 0.741 0.241 0.481 1
W1 W 0.257 0.757 0.515 1
```

***

No. 3
Material: AlSb3W
Method: DFT, SCAN
State: PBEsol geometry

Properties
Its density of states at the Fermi level is 3.75 states/eV/cell. The magnetization is 0.00 μB/f.u. The raw total energy comes out at -1.35905 hartree per atom. For the uncorrected formation energy, the calculation gives 0.86 eV per atom. The calculated volume is 28.4 Å³/atom.

Cell and atoms, written as CIF:
```
data_AlSb3W
_cell_length_a 5.214
_cell_length_b 5.214
_cell_length_c 5.214
_cell_angle_alpha 90.00
_cell_angle_beta 90.00
_cell_angle_gamma 90.00
_space_group_name_H-M_alt 'P 1'
_space_group_IT_number 1
loop_
_space_group_symop_operation_xyz
'x,y,z'
loop_
_atom_site_label
_atom_site_type_symbol
_atom_site_fract_x
_atom_site_fract_y
_atom_site_fract_z
_atom_site_occupancy
Sb1 Sb 0.000 0.500 0.000 1
Sb2 Sb 0.000 0.000 0.500 1
Sb3 Sb 0.500 0.000 0.000 1
Al1 Al 0.500 0.500 0.500 1
W1 W 0.000 0.000 0.000 1
```

***

No. 4
Material: AlSbW2
Method: DFT, SCAN
State: PBEsol geometry

Properties
Its density of states at the Fermi level is 2.34 states/eV/cell. The magnetization is 0.00 μB/f.u. The raw total energy comes out at -1.67621 hartree per atom. For the uncorrected formation energy, the calculation gives 0.49 eV per atom. The calculated volume is 16.5 Å³/atom. The distance to the lowest polymorph of the same formula comes out at 0 meV/atom.

Cell and atoms, written as CIF:
```
data_AlSbW2
_cell_length_a 4.046
_cell_length_b 4.046
_cell_length_c 4.946
_cell_angle_alpha 114.14
_cell_angle_beta 114.14
_cell_angle_gamma 90.00
_space_group_name_H-M_alt 'P 1'
_space_group_IT_number 1
loop_
_space_group_symop_operation_xyz
'x,y,z'
loop_
_atom_site_label
_atom_site_type_symbol
_atom_site_fract_x
_atom_site_fract_y
_atom_site_fract_z
_atom_site_occupancy
Sb1 Sb 0.250 0.750 0.500 1
Al1 Al 0.500 0.500 0.000 1
W1 W 0.000 0.000 0.000 1
W2 W 0.750 0.250 0.500 1
```

***

No. 5
Material: Al2SbW
Method: DFT, SCAN
State: PBEsol geometry

Properties
Its density of states at the Fermi level is 4.94 states/eV/cell. The magnetization is 0.00 μB/f.u. The raw total energy comes out at -1.09606 hartree per atom. For the uncorrected formation energy, the calculation gives 0.79 eV per atom. The calculated volume is 19.4 Å³/atom.

Cell and atoms, written as CIF:
```
data_Al2SbW
_cell_length_a 5.401
_cell_length_b 6.005
_cell_length_c 6.005
_cell_angle_alpha 78.33
_cell_angle_beta 63.27
_cell_angle_gamma 63.27
_space_group_name_H-M_alt 'P 1'
_space_group_IT_number 1
loop_
_space_group_symop_operation_xyz
'x,y,z'
loop_
_atom_site_label
_atom_site_type_symbol
_atom_site_fract_x
_atom_site_fract_y
_atom_site_fract_z
_atom_site_occupancy
Sb1 Sb 0.250 0.500 0.500 1
Sb2 Sb 0.500 0.000 0.000 1
Al1 Al 0.100 0.025 0.525 1
Al2 Al 0.650 0.975 0.475 1
Al3 Al 0.375 0.525 0.975 1
Al4 Al 0.875 0.475 0.025 1
W1 W 0.750 0.500 0.500 1
W2 W 0.000 0.000 0.000 1
```

***

No. 6
Material: AlSbW2
Method: DFT, SCAN
State: PBEsol geometry

Properties
Its density of states at the Fermi level is 2.66 states/eV/cell. The magnetization is 0.00 μB/f.u. The raw total energy comes out at -1.67480 hartree per atom. For the uncorrected formation energy, the calculation gives 0.52 eV per atom. The calculated volume is 16.8 Å³/atom. The distance to the lowest polymorph of the same formula comes out at 39 meV/atom.

Cell and atoms, written as CIF:
```
data_AlSbW2
_cell_length_a 3.360
_cell_length_b 3.360
_cell_length_c 5.944
_cell_angle_alpha 90.00
_cell_angle_beta 90.00
_cell_angle_gamma 90.00
_space_group_name_H-M_alt 'P 1'
_space_group_IT_number 1
loop_
_space_group_symop_operation_xyz
'x,y,z'
loop_
_atom_site_label
_atom_site_type_symbol
_atom_site_fract_x
_atom_site_fract_y
_atom_site_fract_z
_atom_site_occupancy
Sb1 Sb 0.500 0.500 0.500 1
Al1 Al 0.500 0.500 0.000 1
W1 W 0.000 0.000 0.783 1
W2 W 0.000 0.000 0.217 1
```

***

No. 7
Material: YAl2Sb2
Method: DFT, SCAN
State: PBEsol geometry

Properties
Its density of states at the Fermi level is 6.86 states/eV/cell. The magnetization is 0.00 μB/f.u. The raw total energy comes out at -0.87450 hartree per atom. For the uncorrected formation energy, the calculation gives -0.22 eV per atom. The calculated volume is 22.6 Å³/atom.

Cell and atoms, written as CIF:
```
data_YAl2Sb2
_cell_length_a 3.829
_cell_length_b 7.677
_cell_length_c 7.677
_cell_angle_alpha 90.00
_cell_angle_beta 90.00
_cell_angle_gamma 90.00
_space_group_name_H-M_alt 'P 1'
_space_group_IT_number 1
loop_
_space_group_symop_operation_xyz
'x,y,z'
loop_
_atom_site_label
_atom_site_type_symbol
_atom_site_fract_x
_atom_site_fract_y
_atom_site_fract_z
_atom_site_occupancy
Y1 Y 0.000 0.000 0.000 1
Y2 Y 0.000 0.500 0.500 1
Sb1 Sb 0.500 0.177 0.677 1
Sb2 Sb 0.500 0.677 0.823 1
Sb3 Sb 0.500 0.823 0.323 1
Sb4 Sb 0.500 0.323 0.177 1
Al1 Al 0.000 0.379 0.879 1
Al2 Al 0.000 0.879 0.621 1
Al3 Al 0.000 0.621 0.121 1
Al4 Al 0.000 0.121 0.379 1
```

***

No. 8
Material: YAlSb4
Method: DFT, SCAN
State: PBEsol geometry

Properties
Its density of states at the Fermi level is 4.44 states/eV/cell. The magnetization is 0.00 μB/f.u. The raw total energy comes out at -1.12673 hartree per atom. For the uncorrected formation energy, the calculation gives 0.11 eV per atom. The calculated volume is 27.1 Å³/atom.

Cell and atoms, written as CIF:
```
data_YAlSb4
_cell_length_a 6.128
_cell_length_b 6.128
_cell_length_c 6.128
_cell_angle_alpha 60.00
_cell_angle_beta 60.00
_cell_angle_gamma 60.00
_space_group_name_H-M_alt 'P 1'
_space_group_IT_number 1
loop_
_space_group_symop_operation_xyz
'x,y,z'
loop_
_atom_site_label
_atom_site_type_symbol
_atom_site_fract_x
_atom_site_fract_y
_atom_site_fract_z
_atom_site_occupancy
Y1 Y 0.750 0.750 0.750 1
Sb1 Sb 0.375 0.375 0.375 1
Sb2 Sb 0.375 0.375 0.875 1
Sb3 Sb 0.875 0.375 0.375 1
Sb4 Sb 0.375 0.875 0.375 1
Al1 Al 0.000 0.000 0.000 1
```

***

No. 9
Material: YAlSb
Method: DFT, SCAN
State: PBEsol geometry

Properties
Its density of states at the Fermi level is 2.15 states/eV/cell. The magnetization is 0.20 μB/f.u. The raw total energy comes out at -0.90865 hartree per atom. For the uncorrected formation energy, the calculation gives -0.44 eV per atom. The calculated volume is 23.4 Å³/atom.

Cell and atoms, written as CIF:
```
data_YAlSb
_cell_length_a 3.696
_cell_length_b 3.696
_cell_length_c 5.729
_cell_angle_alpha 106.73
_cell_angle_beta 106.73
_cell_angle_gamma 96.18
_space_group_name_H-M_alt 'P 1'
_space_group_IT_number 1
loop_
_space_group_symop_operation_xyz
'x,y,z'
loop_
_atom_site_label
_atom_site_type_symbol
_atom_site_fract_x
_atom_site_fract_y
_atom_site_fract_z
_atom_site_occupancy
Y1 Y 0.334 0.334 0.668 1
Sb1 Sb 0.649 0.649 0.298 1
Al1 Al 0.017 0.017 0.034 1
```

***

No. 10
Material: Al2ZnSb
Method: DFT, SCAN
State: PBEsol geometry

Properties
Its density of states at the Fermi level is 1.89 states/eV/cell. The magnetization is 0.00 μB/f.u. The raw total energy comes out at -0.59894 hartree per atom. For the uncorrected formation energy, the calculation gives 0.27 eV per atom. The calculated volume is 19.3 Å³/atom.

Cell and atoms, written as CIF:
```
data_Al2ZnSb
_cell_length_a 4.782
_cell_length_b 4.782
_cell_length_c 4.782
_cell_angle_alpha 60.00
_cell_angle_beta 60.00
_cell_angle_gamma 60.00
_space_group_name_H-M_alt 'P 1'
_space_group_IT_number 1
loop_
_space_group_symop_operation_xyz
'x,y,z'
loop_
_atom_site_label
_atom_site_type_symbol
_atom_site_fract_x
_atom_site_fract_y
_atom_site_fract_z
_atom_site_occupancy
Sb1 Sb 0.500 0.500 0.500 1
Zn1 Zn 0.750 0.750 0.750 1
Al1 Al 0.000 0.000 0.000 1
Al2 Al 0.250 0.250 0.250 1
```

***

No. 11
Material: AlZn2Sb
Method: DFT, SCAN
State: PBEsol geometry

Properties
Its density of states at the Fermi level is 4.02 states/eV/cell. The magnetization is 0.00 μB/f.u. The raw total energy comes out at -0.65261 hartree per atom. For the uncorrected formation energy, the calculation gives 0.25 eV per atom. The calculated volume is 19.6 Å³/atom. The distance to the lowest polymorph of the same formula comes out at 52 meV/atom.

Cell and atoms, written as CIF:
```
data_AlZn2Sb
_cell_length_a 5.580
_cell_length_b 5.988
_cell_length_c 5.988
_cell_angle_alpha 77.46
_cell_angle_beta 62.23
_cell_angle_gamma 62.23
_space_group_name_H-M_alt 'P 1'
_space_group_IT_number 1
loop_
_space_group_symop_operation_xyz
'x,y,z'
loop_
_atom_site_label
_atom_site_type_symbol
_atom_site_fract_x
_atom_site_fract_y
_atom_site_fract_z
_atom_site_occupancy
Sb1 Sb 0.000 0.000 0.000 1
Sb2 Sb 0.750 0.500 0.500 1
Zn1 Zn 0.875 0.991 0.509 1
Zn2 Zn 0.375 0.009 0.491 1
Zn3 Zn 0.616 0.509 0.009 1
Zn4 Zn 0.134 0.491 0.991 1
Al1 Al 0.500 0.000 0.000 1
Al2 Al 0.250 0.500 0.500 1
```

***

No. 12
Material: AlZn2Sb
Method: DFT, SCAN
State: PBEsol geometry

Properties
Its density of states at the Fermi level is 1.51 states/eV/cell. The magnetization is 0.00 μB/f.u. The raw total energy comes out at -0.65451 hartree per atom. For the uncorrected formation energy, the calculation gives 0.20 eV per atom. The calculated volume is 18.3 Å³/atom. The distance to the lowest polymorph of the same formula comes out at 0 meV/atom.

Cell and atoms, written as CIF:
```
data_AlZn2Sb
_cell_length_a 3.134
_cell_length_b 3.134
_cell_length_c 7.467
_cell_angle_alpha 90.00
_cell_angle_beta 90.00
_cell_angle_gamma 93.34
_space_group_name_H-M_alt 'P 1'
_space_group_IT_number 1
loop_
_space_group_symop_operation_xyz
'x,y,z'
loop_
_atom_site_label
_atom_site_type_symbol
_atom_site_fract_x
_atom_site_fract_y
_atom_site_fract_z
_atom_site_occupancy
Sb1 Sb 0.500 0.500 0.243 1
Zn1 Zn 0.000 0.000 0.959 1
Zn2 Zn 0.500 0.500 0.756 1
Al1 Al 0.000 0.000 0.542 1
```